This record from Alexandria via LeMat-Bulk describes crystalline PuThMnSi2 at its relaxed geometry. The functional is PBE.

Raw formation energy, meV/atom: -340
Volume, Å³/f.u.: 102.8
E_tot, eV/cell: -43.47
Crystal system: tetragonal
Space group: I-4m2 (119)

The structure in extended XYZ format:
```
5
Lattice="-2.079 2.079 5.946 2.079 -2.079 5.946 2.079 2.079 -5.946" Properties=species:S:1:pos:R:3 pbc="T T T"
Pu 0.000 0.000 0.000
Th 0.000 2.079 2.973
Mn 0.000 0.000 5.946
Si 2.079 0.000 1.797
Si 2.079 0.000 4.149
```

---

This record from Alexandria via LeMat-Bulk describes crystalline SmPuMn at its relaxed geometry. The functional is PBE.

Volume, Å³/f.u.: 63.7
E_tot, eV/cell: -54.77
Crystal system: triclinic
Formation energy from the elements, eV/f.u.: 0.8
Energy relative to the lowest polymorph listed for this composition, kJ per mole of atoms: 12.2
Space group: P-1 (2)

The structure in extended XYZ format:
```
6
Lattice="3.287 0.000 0.000 -0.863 3.348 0.000 -0.921 -0.835 11.574" Properties=species:S:1:pos:R:3 pbc="T T T"
Sm 0.240 0.316 4.153
Sm 1.264 2.197 7.422
Pu 0.885 0.654 0.630
Pu 0.619 1.859 10.944
Mn -0.181 0.562 9.365
Mn 1.684 1.951 2.209
```

---

This record from Alexandria via LeMat-Bulk describes crystalline SmPu2Mn at its relaxed geometry. The functional is PBE.

Volume, Å³/f.u.: 97.9
E_tot, eV/cell: -41.95
Crystal system: tetragonal
Formation energy from the elements, eV/f.u.: 0.6
Energy relative to the lowest polymorph listed for this composition, kJ per mole of atoms: 0.0
Space group: P4/mmm (123)

The structure in extended XYZ format:
```
4
Lattice="3.350 0.000 0.000 0.000 3.350 0.000 0.000 0.000 8.719" Properties=species:S:1:pos:R:3 pbc="T T T"
Sm 0.000 0.000 0.000
Pu 1.675 1.675 2.693
Pu 1.675 1.675 6.026
Mn 0.000 0.000 4.360
```

---

This record from Alexandria via LeMat-Bulk describes crystalline SmPuMn2 at its relaxed geometry. The functional is PBE.

Volume, Å³/f.u.: 81.3
E_tot, eV/cell: -37.00
Crystal system: tetragonal
Formation energy from the elements, eV/f.u.: 0.4
Space group: P4/mmm (123)

The structure in extended XYZ format:
```
4
Lattice="3.432 0.000 0.000 0.000 3.432 0.000 0.000 0.000 6.902" Properties=species:S:1:pos:R:3 pbc="T T T"
Sm 0.000 0.000 0.000
Pu 0.000 0.000 3.451
Mn 1.716 1.716 2.064
Mn 1.716 1.716 4.838
```

---

This record from Alexandria via LeMat-Bulk describes crystalline SmPuMn2 at its relaxed geometry. The functional is PBE.

Volume, Å³/f.u.: 81.5
E_tot, eV/cell: -36.57
Crystal system: cubic
Formation energy from the elements, eV/f.u.: 0.8
Space group: Fm-3m (225)

The structure in extended XYZ format:
```
4
Lattice="0.000 3.441 3.441 3.441 0.000 3.441 3.441 3.441 0.000" Properties=species:S:1:pos:R:3 pbc="T T T"
Sm 0.000 0.000 0.000
Pu 3.441 3.441 3.441
Mn 1.721 1.721 1.721
Mn 5.162 5.162 5.162
```

---

This record from Alexandria via LeMat-Bulk describes crystalline SmPuMn at its relaxed geometry. The functional is PBE.

Volume, Å³/f.u.: 68.9
E_tot, eV/cell: -27.77
Crystal system: tetragonal
Formation energy from the elements, eV/f.u.: 0.5
Energy relative to the lowest polymorph listed for this composition, kJ per mole of atoms: 0.0
Space group: I4mm (107)

The structure in extended XYZ format:
```
3
Lattice="-1.742 1.742 5.679 1.742 -1.742 5.679 1.742 1.742 -5.679" Properties=species:S:1:pos:R:3 pbc="T T T"
Sm 0.000 0.000 0.000
Pu 0.000 0.000 3.261
Mn 0.000 0.000 7.749
```

---

This record from Alexandria via LeMat-Bulk describes crystalline SmPu2Mn at its relaxed geometry. The functional is PBE.

Volume, Å³/f.u.: 87.4
E_tot, eV/cell: -40.38
Crystal system: trigonal
Formation energy from the elements, eV/f.u.: 2.2
Energy relative to the lowest polymorph listed for this composition, kJ per mole of atoms: 37.8
Space group: R-3m (166)

The structure in extended XYZ format:
```
4
Lattice="2.141 1.236 5.505 -2.141 1.236 5.505 0.000 -2.472 5.505" Properties=species:S:1:pos:R:3 pbc="T T T"
Sm 0.000 0.000 0.000
Pu 0.000 0.000 2.913
Pu 0.000 0.000 13.602
Mn 0.000 0.000 8.258
```

---

This record from Alexandria via LeMat-Bulk describes crystalline SmPuMn2 at its relaxed geometry. The functional is PBE.

Volume, Å³/f.u.: 88.7
E_tot, eV/cell: -35.46
Crystal system: tetragonal
Formation energy from the elements, eV/f.u.: 1.9
Space group: P4/mmm (123)

The structure in extended XYZ format:
```
4
Lattice="5.094 0.000 0.000 0.000 5.094 0.000 0.000 0.000 3.419" Properties=species:S:1:pos:R:3 pbc="T T T"
Sm 0.000 0.000 0.000
Pu 2.547 2.547 0.000
Mn 0.000 2.547 1.709
Mn 2.547 0.000 1.709
```

---

This record from Alexandria via LeMat-Bulk describes crystalline SmPuMnZn at its relaxed geometry. The functional is PBE.

Volume, Å³/f.u.: 92.7
E_tot, eV/cell: -28.58
Crystal system: cubic
Formation energy from the elements, eV/f.u.: 0.9
Space group: F-43m (216)

The structure in extended XYZ format:
```
4
Lattice="0.000 3.592 3.592 3.592 0.000 3.592 3.592 3.592 0.000" Properties=species:S:1:pos:R:3 pbc="T T T"
Sm 0.000 0.000 0.000
Pu 3.592 3.592 3.592
Mn 1.796 1.796 1.796
Zn 5.388 5.388 5.388
```

---

This record from Alexandria via LeMat-Bulk describes crystalline PuMnSn at its relaxed geometry. The functional is PBE.

Volume, Å³/f.u.: 68.7
E_tot, eV/cell: -27.13
Crystal system: hexagonal
Formation energy from the elements, eV/f.u.: 0.4
Space group: P-6m2 (187)

The structure in extended XYZ format:
```
3
Lattice="4.878 0.000 0.000 -2.439 4.225 0.000 0.000 0.000 3.331" Properties=species:S:1:pos:R:3 pbc="T T T"
Pu 0.000 0.000 0.000
Mn 2.439 1.408 1.666
Sn 0.000 2.816 1.666
```

---

This record from Alexandria via LeMat-Bulk describes crystalline PuMn4Sn at its relaxed geometry. The functional is PBE.

Volume, Å³/f.u.: 87.7
E_tot, eV/cell: -53.98
Crystal system: cubic
Formation energy from the elements, eV/f.u.: 1.0
Space group: F-43m (216)

The structure in extended XYZ format:
```
6
Lattice="0.000 3.526 3.526 3.526 0.000 3.526 3.526 3.526 0.000" Properties=species:S:1:pos:R:3 pbc="T T T"
Pu 0.000 0.000 0.000
Mn 2.658 2.658 2.658
Mn 4.394 4.394 2.658
Mn 4.394 2.658 4.394
Mn 2.658 4.394 4.394
Sn 5.289 5.289 5.289
```

---

This record from Alexandria via LeMat-Bulk describes crystalline PuMnSn at its relaxed geometry. The functional is PBE.

Volume, Å³/f.u.: 62.3
E_tot, eV/cell: -27.72
Crystal system: tetragonal
Formation energy from the elements, eV/f.u.: -0.2
Space group: I4mm (107)

The structure in extended XYZ format:
```
3
Lattice="-1.634 1.634 5.831 1.634 -1.634 5.831 1.634 1.634 -5.831" Properties=species:S:1:pos:R:3 pbc="T T T"
Pu 0.000 0.000 0.000
Mn 0.000 0.000 7.600
Sn 0.000 0.000 3.395
```